1.
# ZrScRh2

ZrScRh2 after structural relaxation (GGA-PBEsol, the Alexandria database). Values from VASP.

Values from the calculation:
Total moment ... 0.00 μB/cell
Crystal system ... tetragonal
Mass density ... 8.494 g/cm3
ΔE_f ... -0.87 eV per atom
VASP energy ... -8.863 eV/atom
Symmetry ... No. 123

The structure in Quantum ESPRESSO input format:
```
&SYSTEM
  ibrav = 0, nat = 4, ntyp = 3
/
ATOMIC_SPECIES
Zr 91.22 Zr.upf
Sc 44.96 Sc.upf
Rh 102.91 Rh.upf
CELL_PARAMETERS angstrom
3.212 0.000 0.021
0.000 3.210 0.000
-0.046 0.000 6.484
ATOMIC_POSITIONS crystal
Zr 0.500 0.500 0.500
Sc 0.500 0.500 0.000
Rh 0.000 0.000 0.250
Rh 0.000 0.000 0.750
```

2.
# LiP2Au

LiP2Au after structural relaxation (GGA-PBEsol, the Alexandria database). Values from VASP.

Values from the calculation:
Total moment ... 0.00 μB/cell
Crystal system ... cubic
Mass density ... 7.149 g/cm3
ΔE_f ... 0.15 eV per atom
Excess energy over the best structure of this formula in the dataset ... 0.503 eV per atom
VASP energy ... -4.218 eV/atom
Symmetry ... No. 225

The structure in Quantum ESPRESSO input format:
```
&SYSTEM
  ibrav = 0, nat = 4, ntyp = 3
/
ATOMIC_SPECIES
Li 6.94 Li.upf
P 30.97 P.upf
Au 196.97 Au.upf
CELL_PARAMETERS angstrom
4.437 0.000 0.000
2.218 3.842 0.000
2.218 1.281 3.622
ATOMIC_POSITIONS crystal
Li 0.500 0.500 0.500
P 0.250 0.250 0.250
P 0.750 0.750 0.750
Au 0.000 0.000 0.000
```

3.
# Ag2RuBr

Ag2RuBr after structural relaxation (GGA-PBEsol, the Alexandria database). Values from VASP.

Values from the calculation:
Total moment ... 2.08 μB/cell
Crystal system ... cubic
E_form (uncorrected) ... 3.9 eV/f.u.
Mass density ... 9.125 g/cm3
Excess energy over the best structure of this formula in the dataset ... 0.451 eV per atom
VASP energy ... -3.688 eV/atom
Symmetry ... No. 225

The structure in Quantum ESPRESSO input format:
```
&SYSTEM
  ibrav = 0, nat = 4, ntyp = 3
/
ATOMIC_SPECIES
Br 79.90 Br.upf
Ag 107.87 Ag.upf
Ru 101.07 Ru.upf
CELL_PARAMETERS angstrom
-1.108 -0.106 4.539
-3.829 -2.274 1.418
0.406 -3.983 2.412
ATOMIC_POSITIONS crystal
Br 0.000 0.000 0.000
Ag 0.250 0.250 0.250
Ag 0.750 0.750 0.750
Ru 0.500 0.500 0.500
```

4.
# YMn2P

YMn2P after structural relaxation (GGA-PBEsol, the Alexandria database). Values from VASP.

Values from the calculation:
Total moment ... 5.76 μB/cell
Crystal system ... orthorhombic
Mass density ... 5.850 g/cm3
ΔE_f ... -0.05 eV per atom
VASP energy ... -8.082 eV/atom
Symmetry ... No. 71

The structure in Quantum ESPRESSO input format:
```
&SYSTEM
  ibrav = 0, nat = 4, ntyp = 3
/
ATOMIC_SPECIES
Y 88.91 Y.upf
Mn 54.94 Mn.upf
P 30.97 P.upf
CELL_PARAMETERS angstrom
-0.869 1.882 -2.364
-4.026 2.858 1.663
0.265 4.910 1.721
ATOMIC_POSITIONS crystal
Y 0.000 0.500 0.500
Mn 0.801 0.199 0.199
Mn 0.199 0.801 0.801
P 0.500 0.000 0.000
```

5.
# Li3GeH

Li3GeH after structural relaxation (GGA-PBEsol, the Alexandria database). Values from VASP.

Values from the calculation:
Total moment ... 2.01 μB/cell
Crystal system ... cubic
Mass density ... 1.292 g/cm3
Excess energy over the best structure of this formula in the dataset ... 0.775 eV per atom
VASP energy ... -2.335 eV/atom
Symmetry ... No. 221

The structure in Quantum ESPRESSO input format:
```
&SYSTEM
  ibrav = 0, nat = 5, ntyp = 3
/
ATOMIC_SPECIES
Ge 72.64 Ge.upf
Li 6.94 Li.upf
H 1.01 H.upf
CELL_PARAMETERS angstrom
4.951 0.000 0.000
0.000 4.951 0.000
0.000 0.000 4.951
ATOMIC_POSITIONS crystal
Ge 0.000 0.000 0.000
Li 0.500 0.000 0.000
Li 0.000 0.500 0.000
Li 0.000 0.000 0.500
H 0.500 0.500 0.500
```

6.
# KTl3

KTl3 after structural relaxation (GGA-PBEsol, the Alexandria database). Values from VASP.

Values from the calculation:
Total moment ... 0.00 μB/cell
Crystal system ... monoclinic
Mass density ... 8.804 g/cm3
ΔE_f ... -0.04 eV per atom
VASP energy ... -2.296 eV/atom
Symmetry ... No. 12

The structure in Quantum ESPRESSO input format:
```
&SYSTEM
  ibrav = 0, nat = 4, ntyp = 2
/
ATOMIC_SPECIES
Tl 204.38 Tl.upf
K 39.10 K.upf
CELL_PARAMETERS angstrom
3.363 0.000 0.000
-1.682 5.286 0.152
0.000 -1.010 6.891
ATOMIC_POSITIONS crystal
Tl 0.500 0.000 0.500
Tl 0.246 0.493 0.715
Tl 0.754 0.507 0.285
K 0.000 0.000 0.000
```

7.
# K2Ca2Ta

K2Ca2Ta after structural relaxation (GGA-PBEsol, the Alexandria database). Values from VASP.

Values from the calculation:
Total moment ... 3.09 μB/cell
Crystal system ... tetragonal
Mass density ... 2.952 g/cm3
ΔE_f ... 1.19 eV per atom
VASP energy ... -2.630 eV/atom
Symmetry ... No. 139

The structure in Quantum ESPRESSO input format:
```
&SYSTEM
  ibrav = 0, nat = 5, ntyp = 3
/
ATOMIC_SPECIES
K 39.10 K.upf
Ca 40.08 Ca.upf
Ta 180.95 Ta.upf
CELL_PARAMETERS angstrom
-2.333 0.118 -3.650
3.310 -1.762 -2.173
-4.108 -8.458 4.925
ATOMIC_POSITIONS crystal
K 0.250 0.750 0.500
K 0.750 0.250 0.500
Ca 0.421 0.421 0.843
Ca 0.579 0.579 0.157
Ta 0.000 0.000 0.000
```

8.
# PbW2O

PbW2O after structural relaxation (GGA-PBEsol, the Alexandria database). Values from VASP.

Values from the calculation:
Total moment ... 0.00 μB/cell
Crystal system ... cubic
E_form (uncorrected) ... 4.8 eV/f.u.
Mass density ... 15.829 g/cm3
VASP energy ... -8.004 eV/atom
Symmetry ... No. 225

The structure in Quantum ESPRESSO input format:
```
&SYSTEM
  ibrav = 0, nat = 4, ntyp = 3
/
ATOMIC_SPECIES
Pb 207.20 Pb.upf
W 183.84 W.upf
O 16.00 O.upf
CELL_PARAMETERS angstrom
4.442 0.000 0.000
2.221 3.847 0.000
2.221 1.282 3.627
ATOMIC_POSITIONS crystal
Pb 0.500 0.500 0.500
W 0.250 0.250 0.250
W 0.750 0.750 0.750
O 0.000 0.000 0.000
```

Question: What is the mass density in the fourth record?
Answer: 5.850 g/cm3